# La2Tl2As (PBE, optimized geometry)
# ΔE to the lowest computed polymorph	0.000	eV/atom
# formation energy	-250	kJ/mol of formula units
# size of the total moment	0.000	μB per atom
data_La2Tl2As
_chemical_formula_sum 'La4 Tl4 As2'
_cell_length_a 7.938
_cell_length_b 7.938
_cell_length_c 5.209
_cell_angle_alpha 90.00
_cell_angle_beta 90.00
_cell_angle_gamma 90.00
_space_group_name_H-M_alt 'P 1'
_space_group_IT_number 1
loop_
_space_group_symop_operation_xyz
'x,y,z'
loop_
_atom_site_label
_atom_site_fract_x
_atom_site_fract_y
_atom_site_fract_z
La1 0.336 0.836 0.000
La2 0.664 0.164 0.000
La3 0.164 0.336 0.000
La4 0.836 0.664 0.000
Tl1 0.144 0.644 0.500
Tl2 0.356 0.144 0.500
Tl3 0.856 0.356 0.500
Tl4 0.644 0.856 0.500
As1 0.000 0.000 0.000
As2 0.500 0.500 0.000